DFT (PBE) results for a relaxed structure of MgScFe2.

Computed properties:
- symmetry = P2/m, No. 10
- uncorrected energy (eV per atom) = -6.045
- formation enthalpy at 0 K (eV/atom) = 0.167

abc: 3.528 2.995 6.624
angles: 62.95 90.00 90.00
Fractional positions:
Sc 0.500 0.750 0.750
Fe 0.000 0.983 0.016
Mg 0.500 0.250 0.250
Fe 0.000 0.517 0.484